A geometry-optimized LiMg2Pb structure. Source: Alexandria, functional GGA-PBEsol.

Properties
ΔH_f (0 K): -0.12 eV/atom
magnetization: 0.00 μB per cell
mass density: 4.86 g/cm³
DOS at the Fermi energy: 1.8 states/eV/cell
space group: C2/m, No. 12

Lattice parameters (Å, degrees): 5.4246 5.4246 5.2988 98.80 98.80 35.68
With the nearest neighbours (Å) after each atom.
Fractional positions:
Li (0.0000, 0.0000, 0.0000)  6 Mg 3.07-3.17, 4 Pb 3.13, 2 Li 3.32
Mg (0.2501, 0.2501, 0.7562)  3 Li 3.07-3.17, 6 Mg 3.07-3.32, 3 Pb 3.10-3.19
Mg (0.7499, 0.7499, 0.2438)  3 Li 3.07-3.17, 6 Mg 3.07-3.32, 3 Pb 3.10-3.19
Pb (0.5000, 0.5000, 0.5000)  6 Mg 3.10-3.19, 4 Li 3.13, 2 Pb 3.32